1.
## KFe2Tc (GGA-PBE)

Data for an optimized crystal structure of KFe2Tc.

Output
calculated formation energy: 742.9 meV per atom
relative energy among the computed polymorphs: 4.3 kJ/mol of atoms
symmetry: P4mm
ρ: 5.78 g/cm3

a = 2.8392 Å, b = 2.8392 Å, c = 8.8700 Å
α = 90.00°, β = 90.00°, γ = 90.00°
Last column: nearest neighbours and their distance in Å.
Fractional coordinates of all 4 atoms:
K  0.0000  0.0000  0.0000  4 K 2.84
Fe  0.0000  0.0000  0.5025  4 Fe 2.46, 4 Tc 2.53
Fe  0.5000  0.5000  0.6625  4 Fe 2.46
Tc  0.5000  0.5000  0.3287  4 Fe 2.53

2.
## KFeTc2 (GGA-PBE)

Data for an optimized crystal structure of KFeTc2.

Output
calculated formation energy: 1592.3 meV per atom
relative energy among the computed polymorphs: 81.5 kJ/mol of atoms
symmetry: P4/mmm
ρ: 6.95 g/cm3

a = 3.7492 Å, b = 3.7492 Å, c = 4.9427 Å
α = 90.00°, β = 90.00°, γ = 90.00°
Last column: nearest neighbours and their distance in Å.
Fractional coordinates of all 4 atoms:
K  0.0000  0.0000  0.0000  4 Fe 2.65
Fe  0.5000  0.5000  0.0000  4 K 2.65
Tc  0.0000  0.5000  0.5000  4 Tc 2.65
Tc  0.5000  0.0000  0.5000  4 Tc 2.65

3.
## KFeTc2 (GGA-PBE)

Data for an optimized crystal structure of KFeTc2.

Output
calculated formation energy: 1015.3 meV per atom
relative energy among the computed polymorphs: 25.8 kJ/mol of atoms
symmetry: Immm
ρ: 6.98 g/cm3

a = 2.6036 Å, b = 5.0652 Å, c = 10.4977 Å
α = 90.00°, β = 90.00°, γ = 90.00°
Last column: nearest neighbours and their distance in Å.
Fractional coordinates of all 8 atoms:
K  0.0000  0.0000  0.0000  2 K 2.60, 4 Fe 2.85
K  0.5000  0.5000  0.5000  2 K 2.60, 4 Fe 2.85
Fe  0.0000  0.0000  0.5000  4 Tc 2.54, 2 Fe 2.60, 4 K 2.85
Fe  0.5000  0.5000  0.0000  4 Tc 2.54, 2 Fe 2.60, 4 K 2.85
Tc  0.0000  0.5000  0.2082  2 Fe 2.54, 2 Tc 2.60
Tc  0.0000  0.5000  0.7918  2 Fe 2.54, 2 Tc 2.60
Tc  0.5000  0.0000  0.2918  2 Fe 2.54, 2 Tc 2.60
Tc  0.5000  0.0000  0.7082  2 Fe 2.54, 2 Tc 2.60

4.
## K2FeTc (GGA-PBE)

Data for an optimized crystal structure of K2FeTc.

Output
calculated formation energy: 848.0 meV per atom
relative energy among the computed polymorphs: 3.2 kJ/mol of atoms
symmetry: Immm
ρ: 3.35 g/cm3

a = 3.2322 Å, b = 3.4881 Å, c = 20.4039 Å
α = 90.00°, β = 90.00°, γ = 90.00°
Last column: nearest neighbours and their distance in Å.
Fractional coordinates of all 8 atoms:
K  0.0000  0.0000  0.1457  4 K 3.23-3.49, 2 Fe 3.38, 2 Tc 3.45
K  0.0000  0.0000  0.8543  4 K 3.23-3.49, 2 Fe 3.38, 2 Tc 3.45
K  0.5000  0.5000  0.3543  4 K 3.23-3.49, 2 Fe 3.38, 2 Tc 3.45
K  0.5000  0.5000  0.6457  4 K 3.23-3.49, 2 Fe 3.38, 2 Tc 3.45
Fe  0.0000  0.5000  0.5000  4 Tc 2.38
Fe  0.5000  0.0000  0.0000  4 Tc 2.38
Tc  0.0000  0.5000  0.0000  4 Fe 2.38
Tc  0.5000  0.0000  0.5000  4 Fe 2.38

5.
## KFe2Tc (GGA-PBE)

Data for an optimized crystal structure of KFe2Tc.

Output
calculated formation energy: 825.1 meV per atom
relative energy among the computed polymorphs: 12.2 kJ/mol of atoms
symmetry: Cmmm
ρ: 6.13 g/cm3

a = 3.1191 Å, b = 4.3905 Å, c = 9.8362 Å
α = 90.00°, β = 90.00°, γ = 90.00°
Last column: nearest neighbours and their distance in Å.
Fractional coordinates of all 8 atoms:
K  0.0000  0.0000  0.0000  4 K 2.69
K  0.5000  0.5000  0.0000  4 K 2.69
Fe  0.0000  0.5000  0.2983  2 Tc 2.52, 4 Fe 2.69
Fe  0.0000  0.5000  0.7017  2 Tc 2.52, 4 Fe 2.69
Fe  0.5000  0.0000  0.2983  2 Tc 2.52, 4 Fe 2.69
Fe  0.5000  0.0000  0.7017  2 Tc 2.52, 4 Fe 2.69
Tc  0.0000  0.0000  0.5000  4 Fe 2.52, 4 Tc 2.69
Tc  0.5000  0.5000  0.5000  4 Fe 2.52, 4 Tc 2.69

6.
## KFeTc2 (GGA-PBE)

Data for an optimized crystal structure of KFeTc2.

Output
calculated formation energy: 1293.9 meV per atom
relative energy among the computed polymorphs: 52.7 kJ/mol of atoms
symmetry: Cmmm
ρ: 7.08 g/cm3

a = 5.3872 Å, b = 10.0806 Å, c = 2.5138 Å
α = 90.00°, β = 90.00°, γ = 90.00°
Last column: nearest neighbours and their distance in Å.
Fractional coordinates of all 8 atoms:
K  0.0000  0.0000  0.0000  2 K 2.51, 2 Fe 2.69
K  0.5000  0.5000  0.0000  2 K 2.51, 2 Fe 2.69
Fe  0.0000  0.5000  0.0000  2 Fe 2.51, 2 K 2.69
Fe  0.5000  0.0000  0.0000  2 Fe 2.51, 2 K 2.69
Tc  0.2500  0.2500  0.5000  4 Tc 2.51-2.69
Tc  0.2500  0.7500  0.5000  4 Tc 2.51-2.69
Tc  0.7500  0.2500  0.5000  4 Tc 2.51-2.69
Tc  0.7500  0.7500  0.5000  4 Tc 2.51-2.69

7.
## KFe2Tc (GGA-PBE)

Data for an optimized crystal structure of KFe2Tc.

Output
calculated formation energy: 881.5 meV per atom
relative energy among the computed polymorphs: 17.7 kJ/mol of atoms
symmetry: R-3m
ρ: 6.29 g/cm3

a = 2.7647 Å, b = 2.7647 Å, c = 29.7818 Å
α = 90.00°, β = 90.00°, γ = 120.00°
Last column: nearest neighbours and their distance in Å.
Fractional coordinates of all 12 atoms:
K  0.0000  0.0000  0.0000  6 K 2.76
K  0.3333  0.6667  0.6667  6 K 2.76
K  0.6667  0.3333  0.3333  6 K 2.76
Fe  0.0000  0.0000  0.2350  3 Tc 2.59, 6 Fe 2.76
Fe  0.0000  0.0000  0.7650  3 Tc 2.59, 6 Fe 2.76
Fe  0.3333  0.6667  0.4316  3 Tc 2.59, 6 Fe 2.76
Fe  0.3333  0.6667  0.9017  3 Tc 2.59, 6 Fe 2.76
Fe  0.6667  0.3333  0.0983  3 Tc 2.59, 6 Fe 2.76
Fe  0.6667  0.3333  0.5684  3 Tc 2.59, 6 Fe 2.76
Tc  0.0000  0.0000  0.5000  6 Fe 2.59, 6 Tc 2.76
Tc  0.3333  0.6667  0.1667  6 Fe 2.59, 6 Tc 2.76
Tc  0.6667  0.3333  0.8333  6 Fe 2.59, 6 Tc 2.76

8.
## KFe2Tc (GGA-PBE)

Data for an optimized crystal structure of KFe2Tc.

Output
calculated formation energy: 1215.5 meV per atom
relative energy among the computed polymorphs: 49.9 kJ/mol of atoms
symmetry: Cmmm
ρ: 6.18 g/cm3

a = 6.2843 Å, b = 8.2529 Å, c = 2.5790 Å
α = 90.00°, β = 90.00°, γ = 90.00°
Last column: nearest neighbours and their distance in Å.
Fractional coordinates of all 8 atoms:
K  0.0000  0.0000  0.0000  2 K 2.58
K  0.5000  0.5000  0.0000  2 K 2.58
Fe  0.2500  0.2500  0.5000  2 Fe 2.58
Fe  0.2500  0.7500  0.5000  2 Fe 2.58
Fe  0.7500  0.2500  0.5000  2 Fe 2.58
Fe  0.7500  0.7500  0.5000  2 Fe 2.58
Tc  0.0000  0.5000  0.0000  2 Tc 2.58
Tc  0.5000  0.0000  0.0000  2 Tc 2.58

9.
## KFeTc2 (GGA-PBE)

Data for an optimized crystal structure of KFeTc2.

Output
calculated formation energy: 747.9 meV per atom
relative energy among the computed polymorphs: 0.0 kJ/mol of atoms
symmetry: Pm
ρ: 5.83 g/cm3

a = 2.8010 Å, b = 3.7720 Å, c = 7.8427 Å
α = 90.00°, β = 90.32°, γ = 90.00°
Last column: nearest neighbours and their distance in Å.
Fractional coordinates of all 4 atoms:
K  0.0000  0.0000  0.0000  2 K 2.80
Fe  0.3893  0.5000  0.6613  3 Tc 2.39-2.59
Tc  0.4163  0.5000  0.3571  1 Fe 2.39, 2 Tc 2.52
Tc  0.8467  0.0000  0.5044  6 Tc 2.52-2.80, 4 Fe 2.59-2.71

10.
## KFeTc2 (GGA-PBE)

Data for an optimized crystal structure of KFeTc2.

Output
calculated formation energy: 820.4 meV per atom
relative energy among the computed polymorphs: 7.0 kJ/mol of atoms
symmetry: R-3m
ρ: 7.22 g/cm3

a = 2.7554 Å, b = 2.7554 Å, c = 30.5230 Å
α = 90.00°, β = 90.00°, γ = 120.00°
Last column: nearest neighbours and their distance in Å.
Fractional coordinates of all 12 atoms:
K  0.0000  0.0000  0.0000  6 K 2.76
K  0.3333  0.6667  0.6667  6 K 2.76
K  0.6667  0.3333  0.3333  6 K 2.76
Fe  0.0000  0.0000  0.5000  6 Tc 2.57, 6 Fe 2.76
Fe  0.3333  0.6667  0.1667  6 Tc 2.57, 6 Fe 2.76
Fe  0.6667  0.3333  0.8333  6 Tc 2.57, 6 Fe 2.76
Tc  0.0000  0.0000  0.2330  3 Fe 2.57, 6 Tc 2.76
Tc  0.0000  0.0000  0.7670  3 Fe 2.57, 6 Tc 2.76
Tc  0.3333  0.6667  0.4337  3 Fe 2.57, 6 Tc 2.76
Tc  0.3333  0.6667  0.8996  3 Fe 2.57, 6 Tc 2.76
Tc  0.6667  0.3333  0.1004  3 Fe 2.57, 6 Tc 2.76
Tc  0.6667  0.3333  0.5663  3 Fe 2.57, 6 Tc 2.76

11.
## K2FeTc (GGA-PBE)

Data for an optimized crystal structure of K2FeTc.

Output
calculated formation energy: 815.2 meV per atom
relative energy among the computed polymorphs: 0.0 kJ/mol of atoms
symmetry: Cm
ρ: 2.99 g/cm3

a = 6.7450 Å, b = 3.8929 Å, c = 10.0836 Å
α = 90.00°, β = 103.27°, γ = 90.00°
Last column: nearest neighbours and their distance in Å.
Fractional coordinates of all 8 atoms:
K  0.0000  0.0000  0.0000  3 Tc 3.45, 3 Fe 3.62
K  0.1894  0.0000  0.5498  3 Fe 3.40, 3 Tc 3.57-3.58
K  0.5000  0.5000  0.0000  3 Tc 3.45, 3 Fe 3.62
K  0.6894  0.5000  0.5498  3 Fe 3.40, 3 Tc 3.57-3.58
Fe  0.4329  0.0000  0.2895  3 Tc 2.26
Fe  0.9329  0.5000  0.2895  3 Tc 2.26
Tc  0.2583  0.5000  0.2666  3 Fe 2.26
Tc  0.7583  0.0000  0.2666  3 Fe 2.26

12.
## KFeTc4 (GGA-PBE)

Data for an optimized crystal structure of KFeTc4.

Output
calculated formation energy: 1055.7 meV per atom
symmetry: F-43m
ρ: 7.80 g/cm3

a = 5.2730 Å, b = 5.2730 Å, c = 5.2730 Å
α = 60.00°, β = 60.00°, γ = 60.00°
Last column: nearest neighbours and their distance in Å.
Fractional coordinates of all 6 atoms:
K  0.0000  0.0000  0.0000  12 Tc 3.09, 4 Fe 3.23
Fe  0.2500  0.2500  0.2500  12 Tc 3.09, 4 K 3.23
Tc  0.1260  0.6247  0.6247  6 Tc 2.63-2.64
Tc  0.6247  0.1260  0.6247  6 Tc 2.63-2.64
Tc  0.6247  0.6247  0.1260  6 Tc 2.63-2.64
Tc  0.6247  0.6247  0.6247  6 Tc 2.63-2.64

13.
## KFe2Tc (GGA-PBE)

Data for an optimized crystal structure of KFe2Tc.

Output
calculated formation energy: 1263.8 meV per atom
relative energy among the computed polymorphs: 54.6 kJ/mol of atoms
symmetry: Immm
ρ: 5.35 g/cm3

a = 2.7067 Å, b = 5.5655 Å, c = 10.2576 Å
α = 90.00°, β = 90.00°, γ = 90.00°
Last column: nearest neighbours and their distance in Å.
Fractional coordinates of all 8 atoms:
K  0.0000  0.0000  0.0000  2 K 2.71
K  0.5000  0.5000  0.5000  2 K 2.71
Fe  0.0000  0.5000  0.2059  2 Tc 2.51, 2 Fe 2.71
Fe  0.0000  0.5000  0.7941  2 Tc 2.51, 2 Fe 2.71
Fe  0.5000  0.0000  0.2941  2 Tc 2.51, 2 Fe 2.71
Fe  0.5000  0.0000  0.7059  2 Tc 2.51, 2 Fe 2.71
Tc  0.0000  0.0000  0.5000  4 Fe 2.51, 2 Tc 2.71
Tc  0.5000  0.5000  0.0000  4 Fe 2.51, 2 Tc 2.71

14.
## KFe2Tc (GGA-PBE)

Data for an optimized crystal structure of KFe2Tc.

Output
calculated formation energy: 1476.0 meV per atom
relative energy among the computed polymorphs: 75.0 kJ/mol of atoms
symmetry: Pmmm
ρ: 6.11 g/cm3

a = 2.5829 Å, b = 5.0106 Å, c = 5.2232 Å
α = 90.00°, β = 90.00°, γ = 90.00°
Last column: nearest neighbours and their distance in Å.
Fractional coordinates of all 4 atoms:
K  0.0000  0.0000  0.0000  2 K 2.58, 4 Fe 2.82
Fe  0.0000  0.5000  0.5000  2 Fe 2.58, 4 Tc 2.82
Fe  0.5000  0.5000  0.0000  2 Fe 2.58, 4 K 2.82
Tc  0.5000  0.0000  0.5000  2 Tc 2.58, 4 Fe 2.82

15.
## K2FeTc (GGA-PBE)

Data for an optimized crystal structure of K2FeTc.

Output
calculated formation energy: 1461.0 meV per atom
relative energy among the computed polymorphs: 62.3 kJ/mol of atoms
symmetry: Cmmm
ρ: 4.44 g/cm3

a = 5.5815 Å, b = 11.4948 Å, c = 2.7047 Å
α = 90.00°, β = 90.00°, γ = 90.00°
Last column: nearest neighbours and their distance in Å.
Fractional coordinates of all 8 atoms:
K  0.2500  0.2500  0.0000  4 K 2.70-2.79
K  0.2500  0.7500  0.0000  4 K 2.70-2.79
K  0.7500  0.2500  0.0000  4 K 2.70-2.79
K  0.7500  0.7500  0.0000  4 K 2.70-2.79
Fe  0.0000  0.0000  0.5000  2 Fe 2.70, 2 Tc 2.79
Fe  0.5000  0.5000  0.5000  2 Fe 2.70, 2 Tc 2.79
Tc  0.0000  0.5000  0.5000  2 Tc 2.70, 2 Fe 2.79
Tc  0.5000  0.0000  0.5000  2 Tc 2.70, 2 Fe 2.79

16.
## KFe2Tc (GGA-PBE)

Data for an optimized crystal structure of KFe2Tc.

Output
calculated formation energy: 800.8 meV per atom
relative energy among the computed polymorphs: 9.9 kJ/mol of atoms
symmetry: C2/m
ρ: 5.06 g/cm3

a = 8.5751 Å, b = 2.7397 Å, c = 6.9560 Å
α = 90.00°, β = 93.03°, γ = 90.00°
Last column: nearest neighbours and their distance in Å.
Fractional coordinates of all 8 atoms:
K  0.0000  0.0000  0.0000  2 K 2.74
K  0.5000  0.5000  0.0000  2 K 2.74
Fe  0.2385  0.0000  0.6321  2 Fe 2.31, 1 Tc 2.47
Fe  0.2615  0.5000  0.3679  2 Fe 2.31, 1 Tc 2.47
Fe  0.7385  0.5000  0.6321  2 Fe 2.31, 1 Tc 2.47
Fe  0.7615  0.0000  0.3679  2 Fe 2.31, 1 Tc 2.47
Tc  0.0000  0.5000  0.5000  6 Fe 2.47-2.59, 2 Tc 2.74
Tc  0.5000  0.0000  0.5000  6 Fe 2.47-2.59, 2 Tc 2.74

17.
## K2FeTc (GGA-PBE)

Data for an optimized crystal structure of K2FeTc.

Output
calculated formation energy: 1404.8 meV per atom
relative energy among the computed polymorphs: 56.9 kJ/mol of atoms
symmetry: P2/m
ρ: 4.56 g/cm3

a = 2.7337 Å, b = 5.8522 Å, c = 5.3048 Å
α = 90.00°, β = 95.66°, γ = 90.00°
Last column: nearest neighbours and their distance in Å.
Fractional coordinates of all 4 atoms:
K  0.2214  0.0000  0.2523  5 K 2.73-3.00
K  0.7786  0.0000  0.7477  5 K 2.73-3.00
Fe  0.0000  0.5000  0.5000  2 Fe 2.73, 2 Tc 2.86
Tc  0.5000  0.5000  0.0000  2 Tc 2.73, 2 Fe 2.86

18.
## KFeTc2 (GGA-PBE)

Data for an optimized crystal structure of KFeTc2.

Output
calculated formation energy: 1621.6 meV per atom
relative energy among the computed polymorphs: 84.3 kJ/mol of atoms
symmetry: P4/mmm
ρ: 7.10 g/cm3

a = 5.1622 Å, b = 5.1622 Å, c = 2.5517 Å
α = 90.00°, β = 90.00°, γ = 90.00°
Last column: nearest neighbours and their distance in Å.
Fractional coordinates of all 4 atoms:
K  0.0000  0.0000  0.0000  2 K 2.55
Fe  0.5000  0.5000  0.0000  2 Fe 2.55
Tc  0.0000  0.5000  0.5000  2 Tc 2.55
Tc  0.5000  0.0000  0.5000  2 Tc 2.55

19.
## KFeTc3 (GGA-PBE)

Data for an optimized crystal structure of KFeTc3.

Output
calculated formation energy: 1539.1 meV per atom
relative energy among the computed polymorphs: 0.0 kJ/mol of atoms
symmetry: Pm-3m
ρ: 6.71 g/cm3

a = 4.5823 Å, b = 4.5823 Å, c = 4.5823 Å
α = 90.00°, β = 90.00°, γ = 90.00°
Last column: nearest neighbours and their distance in Å.
Fractional coordinates of all 5 atoms:
K  0.0000  0.0000  0.0000  12 Tc 3.24
Fe  0.5000  0.5000  0.5000  6 Tc 2.29
Tc  0.0000  0.5000  0.5000  2 Fe 2.29
Tc  0.5000  0.0000  0.5000  2 Fe 2.29
Tc  0.5000  0.5000  0.0000  2 Fe 2.29

20.
## K2FeTc (GGA-PBE)

Data for an optimized crystal structure of K2FeTc.

Output
calculated formation energy: 1391.5 meV per atom
relative energy among the computed polymorphs: 55.6 kJ/mol of atoms
symmetry: P4/mmm
ρ: 4.43 g/cm3

a = 2.7362 Å, b = 2.7362 Å, c = 11.6211 Å
α = 90.00°, β = 90.00°, γ = 90.00°
Last column: nearest neighbours and their distance in Å.
Fractional coordinates of all 4 atoms:
K  0.0000  0.0000  0.2453  4 K 2.74
K  0.0000  0.0000  0.7547  4 K 2.74
Fe  0.5000  0.5000  0.5000  4 Fe 2.74
Tc  0.5000  0.5000  0.0000  4 Tc 2.74